1.
GGA-PBE CoPd2RhSe6, relaxed; formation energy without anion corrections = -1.284 eV per formula unit; space group = C2/c; energy = -4.70 eV per atom; volume = 21.26 A^3/atom
1.0
6.2883 0.1387 0.1439
2.2173 8.3251 -0.5975
2.2173 -0.9056 8.2972
Co Pd Rh Se
2 4 2 12
direct
0.2500 0.1932 0.8068 Co
0.7500 0.8068 0.1932 Co
0.5170 0.7790 0.5412 Pd
0.9830 0.4588 0.2210 Pd
0.4830 0.2210 0.4588 Pd
0.0170 0.5412 0.7790 Pd
0.2500 0.9145 0.0855 Rh
0.7500 0.0855 0.9145 Rh
0.1781 0.9489 0.8186 Se
0.3219 0.1814 0.0511 Se
0.8219 0.0511 0.1814 Se
0.6781 0.8186 0.9489 Se
0.3670 0.9584 0.3565 Se
0.1330 0.6435 0.0416 Se
0.6330 0.0416 0.6435 Se
0.8670 0.3565 0.9584 Se
0.1797 0.6731 0.5489 Se
0.3203 0.4511 0.3269 Se
0.8203 0.3269 0.4511 Se
0.6797 0.5489 0.6731 Se

2.
GGA-PBE Nd3DySb3, relaxed; formation energy without anion corrections = -7.277 eV per formula unit; space group = P2_13; distance to the lowest polymorph of the same formula = 0.0 meV/atom; energy = -5.51 eV per atom; volume = 30.04 A^3/atom
1.0
-2.5541 -4.8952 -7.6562
6.8825 -6.2352 1.6907
-5.9340 -5.1248 5.2563
Nd Dy Sb
12 4 12
direct
0.8227 0.3227 0.1773 Nd
0.9325 0.9325 0.9325 Nd
0.8207 0.6793 0.3207 Nd
0.1773 0.8227 0.3227 Nd
0.1793 0.1793 0.1793 Nd
0.3207 0.8207 0.6793 Nd
0.0675 0.4325 0.5675 Nd
0.3227 0.1773 0.8227 Nd
0.6793 0.3207 0.8207 Nd
0.6773 0.6773 0.6773 Nd
0.5675 0.0675 0.4325 Nd
0.4325 0.5675 0.0675 Nd
0.0721 0.5721 0.9279 Dy
0.9279 0.0721 0.5721 Dy
0.4279 0.4279 0.4279 Dy
0.5721 0.9279 0.0721 Dy
0.7555 0.6282 0.9983 Sb
0.8718 0.0017 0.2555 Sb
0.9983 0.7555 0.6282 Sb
0.1282 0.5017 0.2445 Sb
0.2445 0.1282 0.5017 Sb
0.2555 0.8718 0.0017 Sb
0.0017 0.2555 0.8718 Sb
0.3718 0.4983 0.7445 Sb
0.5017 0.2445 0.1282 Sb
0.6282 0.9983 0.7555 Sb
0.7445 0.3718 0.4983 Sb
0.4983 0.7445 0.3718 Sb

3.
GGA-PBE CdBiBr5, relaxed; formation energy without anion corrections = -4.650 eV per formula unit; space group = C2/c; energy = -2.54 eV per atom; volume = 36.12 A^3/atom
1.0
7.5427 -0.2887 -0.0846
2.1192 7.2447 -0.0846
3.3665 2.4237 9.0929
Cd Bi Br
2 2 10
direct
0.0000 0.0000 0.0000 Cd
0.0000 0.0000 0.5000 Cd
0.5242 0.4758 0.2500 Bi
0.4758 0.5242 0.7500 Bi
0.8257 0.6877 0.1524 Br
0.2775 0.6478 0.4621 Br
0.6877 0.8257 0.6524 Br
0.8797 0.1203 0.2500 Br
0.3522 0.7225 0.0379 Br
0.6478 0.2775 0.9621 Br
0.1203 0.8797 0.7500 Br
0.3123 0.1743 0.3476 Br
0.7225 0.3522 0.5379 Br
0.1743 0.3123 0.8476 Br

4.
GGA-PBE PmPr12Tm6, relaxed; space group = R-3; formation energy from the elements = 1.8 kJ/mol of atoms; distance to the lowest polymorph of the same formula = 0.0 meV/atom; energy = -4.66 eV per atom; volume = 34.11 A^3/atom
1.0
9.0932 -0.6141 -3.0974
-4.1397 8.1195 -3.0974
-0.4053 -0.6141 9.5977
Pm Pr Tm
1 12 6
direct
0.0000 0.0000 0.0000 Pm
0.3726 0.0585 0.5802 Pr
0.0585 0.5802 0.3726 Pr
0.5802 0.3726 0.0585 Pr
0.6274 0.9415 0.4198 Pr
0.9415 0.4198 0.6274 Pr
0.4198 0.6274 0.9415 Pr
0.1046 0.1576 0.7368 Pr
0.2632 0.8954 0.8424 Pr
0.8424 0.2632 0.8954 Pr
0.8954 0.8424 0.2632 Pr
0.7368 0.1046 0.1576 Pr
0.1576 0.7368 0.1046 Pr
0.2160 0.3191 0.4724 Tm
0.6809 0.5276 0.7840 Tm
0.5276 0.7840 0.6809 Tm
0.7840 0.6809 0.5276 Tm
0.3191 0.4724 0.2160 Tm
0.4724 0.2160 0.3191 Tm

5.
GGA-PBE BaFe4Re, relaxed; space group = F-43m; formation energy from the elements = 83.7 kJ/mol of atoms; energy = -7.17 eV per atom; volume = 16.08 A^3/atom
1.0
0.0000 3.6406 3.6406
3.6406 0.0000 3.6406
3.6406 3.6406 0.0000
Ba Fe Re
1 4 1
direct
0.0000 0.0000 0.0000 Ba
0.8668 0.3777 0.3777 Fe
0.3777 0.3777 0.8668 Fe
0.3777 0.8668 0.3777 Fe
0.3777 0.3777 0.3777 Fe
0.7500 0.7500 0.7500 Re

6.
GGA-PBE AlRuPb2, relaxed; space group = Cm; formation energy from the elements = 9.1 kJ/mol of atoms; energy = -5.01 eV per atom; volume = 24.40 A^3/atom
1.0
4.6669 0.0018 -0.0092
3.5306 3.0520 -0.0092
2.1220 0.7905 6.8493
Pb Ru Al
2 1 1
direct
0.9966 0.9966 0.0482 Pb
0.8296 0.8296 0.7017 Pb
0.4796 0.4796 0.3720 Ru
0.1943 0.1943 0.3782 Al

7.
GGA-PBE La3Zn2Ni2, relaxed; space group = C2/m; formation energy from the elements = -32.9 kJ/mol of atoms; energy = -4.47 eV per atom; volume = 23.86 A^3/atom
1.0
3.9727 0.0000 0.0000
-1.9864 5.2367 -2.0307
0.0000 0.2602 7.9290
La Zn Ni
3 2 2
direct
0.3064 0.6128 0.3239 La
0.6936 0.3872 0.6761 La
0.5000 0.0000 0.0000 La
0.9755 0.9510 0.6598 Zn
0.0245 0.0490 0.3402 Zn
0.8163 0.6325 0.0740 Ni
0.1837 0.3675 0.9260 Ni

8.
GGA-PBE Pr4Cu3Ag, relaxed; space group = Pmm2; formation energy from the elements = -16.4 kJ/mol of atoms; energy = -4.45 eV per atom; volume = 25.26 A^3/atom
1.0
-0.7766 -3.0390 2.4832
1.5521 -3.0212 -3.2120
9.9725 0.7856 4.0801
Pr Cu Ag
4 3 1
direct
0.5000 0.5000 0.3659 Pr
0.0000 0.5000 0.8484 Pr
0.0000 0.0000 0.1457 Pr
0.5000 0.0000 0.6406 Pr
0.0000 0.5000 0.5660 Cu
0.0000 0.0000 0.4371 Cu
0.5000 0.0000 0.9276 Cu
0.5000 0.5000 0.0686 Ag

9.
GGA-PBE SrLuZnCd, relaxed; space group = F-43m; formation energy from the elements = -18.1 kJ/mol of atoms; energy = -2.29 eV per atom; volume = 26.89 A^3/atom
1.0
-5.1640 1.0933 -0.7978
-3.7496 -2.8135 2.5542
-2.8744 2.2843 3.8753
Sr Zn Lu Cd
1 1 1 1
direct
0.0000 0.0000 0.0000 Sr
0.2500 0.2500 0.2500 Zn
0.5000 0.5000 0.5000 Lu
0.7500 0.7500 0.7500 Cd

10.
GGA-PBE MnCo2H, relaxed; space group = R3m; distance to the lowest polymorph of the same formula = 0.0 meV/atom; energy = -6.64 eV per atom; volume = 8.44 A^3/atom
1.0
-1.5669 1.0100 -1.6909
-1.2427 -1.4846 -1.6081
-5.5743 -0.6274 2.9218
Mn Co H
1 2 1
direct
0.5000 0.5000 0.5004 Mn
0.0614 0.0614 0.8154 Co
0.2723 0.2723 0.1827 Co
0.6663 0.6663 0.0014 H

11.
GGA-PBE Si2PIr, relaxed; formation energy without anion corrections = 0.366 eV per formula unit; space group = P4/mmm; distance to the lowest polymorph of the same formula = 349.8 meV/atom; energy = -6.19 eV per atom; volume = 13.97 A^3/atom
1.0
2.8581 0.0063 0.0000
-0.0079 2.8581 0.0000
0.0000 0.0000 6.8398
Ir P Si
1 1 2
direct
0.5000 0.5000 0.2500 Ir
0.5000 0.5000 0.7500 P
0.0000 0.0000 0.0099 Si
0.0000 0.0000 0.4901 Si

12.
GGA-PBE ZrCoSe2, relaxed; formation energy without anion corrections = -1.926 eV per formula unit; space group = I-42d; distance to the lowest polymorph of the same formula = 265.7 meV/atom; energy = -6.14 eV per atom; volume = 23.22 A^3/atom
1.0
5.7734 0.0000 0.0000
0.0000 5.7734 0.0000
2.8867 2.8867 5.5742
Co Se Zr
2 4 2
direct
0.5000 0.5000 0.0000 Co
0.2500 0.7500 0.5000 Co
0.5849 0.1250 0.2500 Se
0.1651 0.6250 0.2500 Se
0.3750 0.4151 0.7500 Se
0.8750 0.8349 0.7500 Se
0.0000 0.0000 0.0000 Zr
0.7500 0.2500 0.5000 Zr

Number 9 is which compound?
SrLuZnCd